Entry 1:
Pr6NdHo8: optimized geometry, PBE.

Unit cell a=9.1379 b=9.1379 c=21.0414 alpha=90.00 beta=90.00 gamma=120.00
With the nearest neighbours (Å) after each atom.
Space group R-3 (No. 148, hexagonal axes)
One atom of each set of equivalent atoms:
Pr 0.0597 0.8120 0.2109  4 Ho 3.39-3.72, 1 Nd 3.49, 2 Pr 3.54
Nd 0.0000 0.0000 0.5000  6 Pr 3.49, 6 Ho 3.58
Ho 0.0000 0.0000 0.0765  4 Ho 3.22-3.44, 3 Pr 3.49
Ho 0.0798 0.5213 0.3076  3 Pr 3.39-3.72, 5 Ho 3.44-3.49, 1 Nd 3.58

Values from the calculation:
* energy relative to the elements: 123 meV/atom

=====

Entry 2:
PrNd8Ho2: optimized geometry, PBE.

Unit cell a=14.3077 b=6.8256 c=8.6765 alpha=90.00 beta=113.49 gamma=90.00
With the nearest neighbours (Å) after each atom.
Space group C2/m (No. 12)
One atom of each set of equivalent atoms:
Pr 0.0000 0.0000 0.0000  10 Nd 3.48-3.76, 2 Ho 3.55
Nd 0.0897 0.2598 0.3812  4 Nd 3.28-3.67, 2 Ho 3.49-3.59, 1 Pr 3.51
Nd 0.1095 0.5000 0.9938  2 Nd 3.17-3.18, 1 Ho 3.28
Nd 0.2378 0.5000 0.7680  1 Nd 3.17, 1 Pr 3.48
Ho 0.1478 0.0000 0.7542  7 Nd 3.28-3.63, 1 Pr 3.55

Values from the calculation:
* energy relative to the lowest polymorph listed for this composition: 46 meV per atom
* energy relative to the elements: 209 meV/atom

=====

Entry 3:
Pr2NdHo9: optimized geometry, PBE.

Unit cell a=11.2990 b=11.2990 c=3.5161 alpha=90.00 beta=90.00 gamma=120.00
With the nearest neighbours (Å) after each atom.
Space group P6/mmm (No. 191)
One atom of each set of equivalent atoms:
Pr 0.3333 0.6667 0.0000  9 Ho 3.26-3.56, 2 Pr 3.52
Nd 0.0000 0.0000 0.0000  2 Nd 3.52, 12 Ho 3.85
Ho 0.0000 0.5000 0.0000  2 Pr 3.26, 10 Ho 3.52-3.64
Ho 0.1750 0.3500 0.5000  8 Ho 3.43-3.64, 2 Pr 3.56

Values from the calculation:
* energy relative to the lowest polymorph listed for this composition: 42 meV per atom
* energy relative to the elements: 66 meV/atom

=====

Entry 4:
Pr7Nd2Ho2: optimized geometry, PBE.

Unit cell a=6.7880 b=12.3278 c=9.6750 alpha=90.00 beta=90.00 gamma=90.00
With the nearest neighbours (Å) after each atom.
Space group Cmmm (No. 65)
One atom of each set of equivalent atoms:
Pr 0.0000 0.0000 0.0000  2 Ho 3.30
Pr 0.0000 0.5000 0.1777  2 Ho 3.34, 1 Pr 3.44, 2 Nd 3.55
Pr 0.2500 0.2500 0.3154  5 Pr 3.39-3.76, 2 Ho 3.50, 2 Nd 3.56
Nd 0.2492 0.0000 0.5000  2 Nd 3.38-3.40, 6 Pr 3.55-3.56
Ho 0.0000 0.2676 0.0000  7 Pr 3.30-3.50, 2 Ho 3.42

Values from the calculation:
* energy relative to the lowest polymorph listed for this composition: 156 meV per atom
* energy relative to the elements: 317 meV/atom

=====

Entry 5:
PrNd12Ho5: optimized geometry, PBE.

Unit cell a=10.9103 b=5.1538 c=10.9216 alpha=90.00 beta=90.15 gamma=90.00
With the nearest neighbours (Å) after each atom.
Space group P2/m (No. 10)
One atom of each set of equivalent atoms:
Pr 0.0000 0.0000 0.0000  8 Nd 3.64, 4 Ho 3.66
Nd 0.0018 0.0000 0.6668  3 Ho 3.62-3.63, 8 Nd 3.64-3.69, 1 Pr 3.64
Nd 0.1669 0.5000 0.1669  2 Pr 3.64, 8 Nd 3.65-3.67, 2 Ho 3.65-3.66
Nd 0.1692 0.5000 0.5018  4 Ho 3.61-3.62, 8 Nd 3.64-3.69
Nd 0.3332 0.0000 0.9983  3 Ho 3.62-3.63, 1 Pr 3.64, 8 Nd 3.64-3.69
Nd 0.3360 0.0000 0.3358  4 Ho 3.61, 8 Nd 3.64-3.69
Nd 0.4981 0.5000 0.8310  4 Ho 3.60-3.62, 8 Nd 3.64-3.69
Ho 0.1681 0.5000 0.8320  8 Nd 3.60-3.66, 2 Ho 3.63, 2 Pr 3.66
Ho 0.3333 0.0000 0.6668  8 Nd 3.61-3.62, 4 Ho 3.63-3.64
Ho 0.5000 0.5000 0.5000  8 Nd 3.61-3.62, 4 Ho 3.64

Values from the calculation:
* energy relative to the elements: 19 meV/atom

=====

Entry 6:
Pr8Nd3Ho3: optimized geometry, PBE.

Unit cell a=5.7522 b=10.9910 c=15.5339 alpha=90.00 beta=90.00 gamma=90.00
With the nearest neighbours (Å) after each atom.
Space group Immm (No. 71)
One atom of each set of equivalent atoms:
Pr 0.0000 0.1571 0.2255  6 Pr 3.30-3.61, 2 Ho 3.65
Pr 0.0000 0.3366 0.3958  5 Pr 3.24-3.59
Nd 0.0000 0.0000 0.0000  2 Nd 3.39, 8 Pr 3.76
Nd 0.0000 0.3082 0.0000  1 Nd 3.39, 4 Ho 3.53-3.57, 4 Pr 3.66
Ho 0.0000 0.0000 0.5000  4 Nd 3.57
Ho 0.0000 0.5000 0.1826  2 Nd 3.53, 8 Pr 3.65-3.83

Values from the calculation:
* energy relative to the elements: 114 meV/atom

=====

Repeat the sixth record exactly.
Pr8Nd3Ho3: optimized geometry, PBE.

Unit cell a=5.7522 b=10.9910 c=15.5339 alpha=90.00 beta=90.00 gamma=90.00
With the nearest neighbours (Å) after each atom.
Space group Immm (No. 71)
One atom of each set of equivalent atoms:
Pr 0.0000 0.1571 0.2255  6 Pr 3.30-3.61, 2 Ho 3.65
Pr 0.0000 0.3366 0.3958  5 Pr 3.24-3.59
Nd 0.0000 0.0000 0.0000  2 Nd 3.39, 8 Pr 3.76
Nd 0.0000 0.3082 0.0000  1 Nd 3.39, 4 Ho 3.53-3.57, 4 Pr 3.66
Ho 0.0000 0.0000 0.5000  4 Nd 3.57
Ho 0.0000 0.5000 0.1826  2 Nd 3.53, 8 Pr 3.65-3.83

Values from the calculation:
* energy relative to the elements: 114 meV/atom

=====

Please write out number 6 again, unchanged.
Pr8Nd3Ho3: optimized geometry, PBE.

Unit cell a=5.7522 b=10.9910 c=15.5339 alpha=90.00 beta=90.00 gamma=90.00
With the nearest neighbours (Å) after each atom.
Space group Immm (No. 71)
One atom of each set of equivalent atoms:
Pr 0.0000 0.1571 0.2255  6 Pr 3.30-3.61, 2 Ho 3.65
Pr 0.0000 0.3366 0.3958  5 Pr 3.24-3.59
Nd 0.0000 0.0000 0.0000  2 Nd 3.39, 8 Pr 3.76
Nd 0.0000 0.3082 0.0000  1 Nd 3.39, 4 Ho 3.53-3.57, 4 Pr 3.66
Ho 0.0000 0.0000 0.5000  4 Nd 3.57
Ho 0.0000 0.5000 0.1826  2 Nd 3.53, 8 Pr 3.65-3.83

Values from the calculation:
* energy relative to the elements: 114 meV/atom

=====

Q: What is the formula in the sixth record?
A: Pr8Nd3Ho3